Record 1
Computed, not measured: crystalline LiLa2Cd at its relaxed geometry at the PBE-GGA level of DFT.

## Properties
The total magnetization comes out at 0.000 μB/atom. The calculation puts the formation energy at 0.48 eV per formula unit.

abc: 8.704 8.704 6.909
angles: 50.96 50.96 90.00
Fractional positions:
Cd (0.000, 0.000, 0.000)
Cd (0.750, 0.250, 0.500)
La (0.375, 0.395, 0.750)
La (0.875, 0.855, 0.750)
La (0.145, 0.625, 0.250)
La (0.605, 0.125, 0.250)
Li (0.500, 0.500, 0.000)
Li (0.250, 0.750, 0.500)

---

Record 2
Computed, not measured: crystalline Li2LaCd at its relaxed geometry at the PBE-GGA level of DFT.

## Properties
The total magnetization comes out at 0.001 μB/atom. The calculation puts the formation energy at 0.17 eV per formula unit.

abc: 5.741 6.475 3.328
angles: 76.31 87.37 115.56
Fractional positions:
Cd (0.000, 0.500, 0.500)
La (0.500, 0.500, 0.000)
Li (0.500, 0.000, 0.500)
Li (0.000, 0.000, 0.000)